# PBE Sb3SeS, relaxed
data_Sb3SeS
_cell_length_a 5.2215
_cell_length_b 5.2215
_cell_length_c 5.2215
_cell_angle_alpha 90.00
_cell_angle_beta 90.00
_cell_angle_gamma 90.00
_space_group_name_H-M_alt 'P m -3 m'
_space_group_IT_number 221
_space_group_name_Hall '-P 4 2 3'
loop_
_atom_site_label
_atom_site_type_symbol
_atom_site_fract_x
_atom_site_fract_y
_atom_site_fract_z
Sb1 Sb 0.0000 0.0000 0.5000
Se1 Se 0.5000 0.5000 0.5000
S1 S 0.0000 0.0000 0.0000
# - total magnetization (μB per formula unit) = 0.0
# - polymorph energy (0 for the lowest one) (meV per atom) = 0
# - volume (Å³ per cell) = 142.4
# - ΔE_f (raw) (meV/atom) = 657
# - Fermi-level density of states (states/eV per cell) = 5.6